Entry from Alexandria: Rb2SnHg12 after structural relaxation (PBE).

Summary:
* SG: P4/nbm

a b c (Å): 7.159 7.159 18.783
angles (deg): 90.00 90.00 90.00
Element x y z (fractional)
Rb  0.250  0.750  0.248
Rb  0.250  0.750  0.752
Rb  0.750  0.250  0.248
Rb  0.750  0.250  0.752
Sn  0.250  0.750  0.500
Sn  0.750  0.250  0.500
Hg  0.000  0.000  0.406
Hg  0.000  0.000  0.594
Hg  0.000  0.500  0.406
Hg  0.000  0.500  0.594
Hg  0.091  0.591  0.066
Hg  0.091  0.909  0.934
Hg  0.250  0.250  0.150
Hg  0.250  0.250  0.314
Hg  0.250  0.250  0.686
Hg  0.250  0.250  0.850
Hg  0.409  0.591  0.934
Hg  0.409  0.909  0.066
Hg  0.500  0.000  0.406
Hg  0.500  0.000  0.594
Hg  0.500  0.500  0.406
Hg  0.500  0.500  0.594
Hg  0.591  0.091  0.934
Hg  0.591  0.409  0.066
Hg  0.750  0.750  0.150
Hg  0.750  0.750  0.314
Hg  0.750  0.750  0.686
Hg  0.750  0.750  0.850
Hg  0.909  0.091  0.066
Hg  0.909  0.409  0.934

---

Entry from Alexandria: Rb2SnHg2 after structural relaxation (PBE).

Summary:
* SG: P4/mbm

a b c (Å): 10.436 10.436 3.582
angles (deg): 90.00 90.00 90.00
Element x y z (fractional)
Rb  0.187  0.313  0.000
Rb  0.313  0.813  0.000
Rb  0.687  0.187  0.000
Rb  0.813  0.687  0.000
Sn  0.000  0.000  0.000
Sn  0.500  0.500  0.000
Hg  0.106  0.606  0.500
Hg  0.394  0.106  0.500
Hg  0.606  0.894  0.500
Hg  0.894  0.394  0.500

---

Entry from Alexandria: Rb3Sn5Hg12 after structural relaxation (PBE).

Summary:
* SG: Ia-3d

a b c (Å): 16.182 16.182 16.182
angles (deg): 109.47 109.47 109.47
Element x y z (fractional)
Rb  0.125  0.250  0.375
Rb  0.125  0.375  0.750
Rb  0.250  0.375  0.125
Rb  0.250  0.875  0.625
Rb  0.375  0.125  0.250
Rb  0.375  0.750  0.125
Rb  0.625  0.250  0.875
Rb  0.625  0.875  0.750
Rb  0.750  0.125  0.375
Rb  0.750  0.625  0.875
Rb  0.875  0.625  0.250
Rb  0.875  0.750  0.625
Sn  0.000  0.000  0.000
Sn  0.000  0.000  0.500
Sn  0.000  0.500  0.000
Sn  0.000  0.500  0.500
Sn  0.125  0.750  0.875
Sn  0.125  0.875  0.250
Sn  0.250  0.125  0.875
Sn  0.250  0.625  0.375
Sn  0.375  0.250  0.625
Sn  0.375  0.625  0.750
Sn  0.500  0.000  0.000
Sn  0.500  0.000  0.500
Sn  0.500  0.500  0.000
Sn  0.500  0.500  0.500
Sn  0.625  0.375  0.250
Sn  0.625  0.750  0.375
Sn  0.750  0.375  0.625
Sn  0.750  0.875  0.125
Sn  0.875  0.125  0.750
Sn  0.875  0.250  0.125
Hg  0.007  0.693  0.058
Hg  0.007  0.814  0.949
Hg  0.051  0.558  0.865
Hg  0.051  0.993  0.186
Hg  0.058  0.007  0.693
Hg  0.058  0.551  0.365
Hg  0.135  0.686  0.693
Hg  0.135  0.949  0.442
Hg  0.186  0.051  0.993
Hg  0.186  0.635  0.193
Hg  0.193  0.186  0.635
Hg  0.193  0.507  0.558
Hg  0.307  0.865  0.314
Hg  0.307  0.942  0.993
Hg  0.314  0.307  0.865
Hg  0.314  0.507  0.449
Hg  0.365  0.058  0.551
Hg  0.365  0.807  0.814
Hg  0.442  0.135  0.949
Hg  0.442  0.807  0.493
Hg  0.449  0.314  0.507
Hg  0.449  0.635  0.942
Hg  0.493  0.442  0.807
Hg  0.493  0.551  0.686
Hg  0.507  0.449  0.314
Hg  0.507  0.558  0.193
Hg  0.551  0.365  0.058
Hg  0.551  0.686  0.493
Hg  0.558  0.193  0.507
Hg  0.558  0.865  0.051
Hg  0.635  0.193  0.186
Hg  0.635  0.942  0.449
Hg  0.686  0.493  0.551
Hg  0.686  0.693  0.135
Hg  0.693  0.058  0.007
Hg  0.693  0.135  0.686
Hg  0.807  0.493  0.442
Hg  0.807  0.814  0.365
Hg  0.814  0.365  0.807
Hg  0.814  0.949  0.007
Hg  0.865  0.051  0.558
Hg  0.865  0.314  0.307
Hg  0.942  0.449  0.635
Hg  0.942  0.993  0.307
Hg  0.949  0.007  0.814
Hg  0.949  0.442  0.135
Hg  0.993  0.186  0.051
Hg  0.993  0.307  0.942

---

Energy of formation from the pure elements (computed, meV/atom): -123 1 18
Total energy (computed, eV/atom): -0.76 -1.31 -1.31